Below is an optimized crystal structure of Pm3Al6Ir5, with properties calculated at the PBE level.

Cell lengths 4.163, 12.792, 9.661 Å; angles 90.00, 90.00, 90.00 degrees
Space group Pmmn (No. 59, origin choice 2)
Asymmetric unit:
Pm1 0.250 0.055 0.248 x4
Pm2 0.250 0.750 0.267 x2
Al1 0.250 0.065 0.581 x4
Al2 0.250 0.250 0.038 x2
Al3 0.250 0.250 0.427 x2
Al4 0.250 0.597 0.982 x4
Ir1 0.250 0.095 0.868 x4
Ir2 0.250 0.637 0.542 x4
Ir3 0.250 0.750 0.798 x2

Summary:
Formation energy in eV per formula unit: -11.706
Density in kg/m3: 10056
Total DFT energy (no corrections) in eV/atom: -6.623